The following is a PBE calculation of an optimized crystal structure of KBa2Mo, from the Alexandria database.

a = 4.7255 Å, b = 4.7255 Å, c = 11.9080 Å
α = 84.85°, β = 84.85°, γ = 49.18°
With the nearest neighbours (Å) after each atom.
Element x y z (fractional)
Ba 0.9752 0.9752 0.0798  3 Mo 3.26-3.31
Ba 0.5248 0.5248 0.4202  3 Mo 3.26-3.31
K 0.7500 0.7500 0.7500  2 K 3.93
Mo 0.2500 0.2500 0.2500  6 Ba 3.26-3.31

E_form = 0.875 eV/atom
E above lowest polymorph = 90 meV/atom
Size of the total moment = 2.721 μB per formula unit
Crystal system = monoclinic
VASP energy = -3.069 eV/atom